(1)
A geometry-optimized RbAgPb structure. Source: the Open Quantum Materials Database, functional GGA-PBE.

a = 5.3861 Å, b = 5.3861 Å, c = 5.3861 Å
α = 60.00°, β = 60.00°, γ = 60.00°
Closest atoms and distances in Å follow each position.
Sites, in units of the cell vectors:
Rb (0.7500, 0.7500, 0.7500)  4 Ag 3.30
Ag (0.0000, 0.0000, 0.0000)  4 Pb 3.30, 4 Rb 3.30
Pb (0.2500, 0.2500, 0.2500)  4 Ag 3.30

Output
Final energy = -6.7 eV per cell
Volume = 36.83 A^3/atom
Symmetry = F-43m, No. 216
Distance to the lowest polymorph of the same formula = 0.1502 eV/atom


(2)
A geometry-optimized Cu5Ag4 structure. Source: the Open Quantum Materials Database, functional GGA-PBE.

a = 7.1464 Å, b = 7.1464 Å, c = 6.6980 Å
α = 94.09°, β = 94.09°, γ = 22.68°
Closest atoms and distances in Å follow each position.
Sites, in units of the cell vectors:
Cu (0.8405, 0.8405, 0.5143)  5 Cu 2.58-2.81, 5 Ag 2.69-2.76
Cu (0.5000, 0.5000, 0.5000)  10 Cu 2.52-2.81, 2 Ag 2.81
Cu (0.1595, 0.1595, 0.4857)  5 Cu 2.58-2.81, 5 Ag 2.69-2.76
Cu (0.0605, 0.0605, 0.7953)  5 Cu 2.52-2.81, 6 Ag 2.66-2.76
Cu (0.9395, 0.9395, 0.2047)  5 Cu 2.52-2.81, 6 Ag 2.66-2.76
Ag (0.4036, 0.4036, 0.8534)  7 Cu 2.66-2.81, 5 Ag 2.81-2.95
Ag (0.7231, 0.7231, 0.8137)  5 Cu 2.67-2.70, 7 Ag 2.81-2.95
Ag (0.2769, 0.2769, 0.1863)  5 Cu 2.67-2.70, 7 Ag 2.81-2.95
Ag (0.5964, 0.5964, 0.1466)  7 Cu 2.66-2.81, 5 Ag 2.81-2.95

Output
Final energy = -29.1 eV per cell
Energy relative to the elements = 0.820 eV per formula unit
Volume = 14.62 A^3/atom
Symmetry = C2/m, No. 12
Distance to the lowest polymorph of the same formula = 0.0506 eV/atom


(3)
A geometry-optimized Ba3Os2Pd2 structure. Source: the Open Quantum Materials Database, functional GGA-PBE.

a = 11.8727 Å, b = 11.8727 Å, c = 11.8727 Å
α = 21.96°, β = 21.96°, γ = 21.96°
Closest atoms and distances in Å follow each position.
Sites, in units of the cell vectors:
Ba (0.4220, 0.4220, 0.4220)  3 Os 3.10, 3 Pd 3.28
Ba (0.8274, 0.8274, 0.8274)  3 Pd 3.14, 3 Os 3.23
Ba (0.6268, 0.6268, 0.6268)  1 Os 2.80, 1 Pd 2.86
Pd (0.0316, 0.0316, 0.0316)  3 Os 2.63
Pd (0.5444, 0.5444, 0.5444)  3 Os 2.61, 1 Ba 2.86
Os (0.7074, 0.7074, 0.7074)  3 Pd 2.63, 1 Ba 2.80
Os (0.2154, 0.2154, 0.2154)  3 Pd 2.61

Output
Final energy = -34.7 eV per cell
Volume = 29.30 A^3/atom
Symmetry = R3m, No. 160


(4)
A geometry-optimized TmTl3Cl5 structure. Source: the Open Quantum Materials Database, functional GGA-PBE.

a = 10.4461 Å, b = 10.4461 Å, c = 10.4461 Å
α = 133.59°, β = 133.59°, γ = 67.74°
Closest atoms and distances in Å follow each position.
Sites, in units of the cell vectors:
Cl (0.0000, 0.0000, 0.0000)  4 Tl 3.08
Cl (0.6813, 0.5054, 0.5000)  1 Tm 2.49
Cl (0.4946, 0.9946, 0.1759)  1 Tm 2.49
Cl (0.3187, 0.4946, 0.5000)  1 Tm 2.49
Cl (0.5054, 0.0054, 0.8241)  1 Tm 2.49
Cl (0.1813, 0.6813, 0.1759)  1 Tm 2.49
Cl (0.5000, 0.5000, 0.0000)  4 Tl 3.08
Cl (0.0054, 0.1813, 0.5000)  1 Tm 2.49
Cl (0.9946, 0.8187, 0.5000)  1 Tm 2.49
Cl (0.8187, 0.3187, 0.8241)  1 Tm 2.49
Tl (0.7500, 0.7500, 0.0000)  8 Cl 3.48
Tl (0.6626, 0.8374, 0.5000)  4 Cl 3.08-3.40
Tl (0.2500, 0.2500, 0.0000)  8 Cl 3.48
Tl (0.8374, 0.3374, 0.1748)  4 Cl 3.08-3.40
Tl (0.1626, 0.6626, 0.8252)  4 Cl 3.08-3.40
Tl (0.3374, 0.1626, 0.5000)  4 Cl 3.08-3.40
Tm (0.2500, 0.7500, 0.5000)  4 Cl 2.49
Tm (0.7500, 0.2500, 0.5000)  4 Cl 2.49

Output
Final energy = -64.1 eV per cell
Volume = 32.66 A^3/atom
Symmetry = I4/mcm, No. 140


(5)
A geometry-optimized Sm2Br2NCl structure. Source: the Open Quantum Materials Database, functional GGA-PBE.

a = 9.1575 Å, b = 9.1575 Å, c = 11.4235 Å
α = 123.12°, β = 123.12°, γ = 24.98°
Closest atoms and distances in Å follow each position.
Sites, in units of the cell vectors:
Br (0.2231, 0.2231, 0.6232)  3 Sm 2.96-3.04
Br (0.0387, 0.0387, 0.2376)  3 Sm 2.95-3.00
Br (0.9613, 0.9613, 0.7624)  3 Sm 2.95-3.00
Br (0.7769, 0.7769, 0.3768)  3 Sm 2.96-3.04
N (0.4241, 0.4241, 0.3441)  4 Sm 2.30-2.38
N (0.5759, 0.5759, 0.6559)  4 Sm 2.30-2.38
Sm (0.4217, 0.4217, 0.5433)  2 N 2.30
Sm (0.5783, 0.5783, 0.4567)  2 N 2.30
Sm (0.1393, 0.1393, 0.7925)  2 N 2.38
Sm (0.8607, 0.8607, 0.2075)  2 N 2.38
Cl (0.6716, 0.6716, 0.0067)  3 Sm 2.83-2.94
Cl (0.3284, 0.3284, 0.9933)  3 Sm 2.83-2.94

Output
Final energy = -68.8 eV per cell
Volume = 27.94 A^3/atom
Symmetry = C2/m, No. 12
Distance to the lowest polymorph of the same formula = 0.0089 eV/atom


(6)
A geometry-optimized Er4TlGaC2 structure. Source: the Open Quantum Materials Database, functional GGA-PBE.

a = 3.5595 Å, b = 3.5595 Å, c = 15.7743 Å
α = 90.00°, β = 90.00°, γ = 120.00°
Closest atoms and distances in Å follow each position.
Sites, in units of the cell vectors:
Er (0.6667, 0.3333, 0.8455)  3 C 2.49
Er (0.0000, 0.0000, 0.6761)  3 C 2.42
Er (0.6667, 0.3333, 0.1545)  3 C 2.49
Er (0.0000, 0.0000, 0.3239)  3 C 2.42
Ga (0.0000, 0.0000, 0.0000)  6 Er 3.19, 6 Ga 3.56
C (0.3333, 0.6667, 0.2432)  6 Er 2.42-2.49
C (0.3333, 0.6667, 0.7568)  6 Er 2.42-2.49
Tl (0.6667, 0.3333, 0.5000)  6 Er 3.46, 6 Tl 3.56

Output
Final energy = -45.3 eV per cell
Volume = 21.64 A^3/atom
Symmetry = P-6m2, No. 187


(7)
A geometry-optimized LaZrB structure. Source: the Open Quantum Materials Database, functional GGA-PBE.

a = 4.4768 Å, b = 4.4768 Å, c = 4.4768 Å
α = 60.00°, β = 60.00°, γ = 60.00°
Closest atoms and distances in Å follow each position.
Sites, in units of the cell vectors:
B (0.0000, 0.0000, 0.0000)  4 Zr 2.74, 4 La 2.74
Zr (0.7500, 0.7500, 0.7500)  4 B 2.74
La (0.2500, 0.2500, 0.2500)  4 B 2.74

Output
Final energy = -19.4 eV per cell
Volume = 21.15 A^3/atom
Symmetry = F-43m, No. 216
Distance to the lowest polymorph of the same formula = 0.0000 eV/atom


(8)
A geometry-optimized Li4AlGa2Pd structure. Source: the Open Quantum Materials Database, functional GGA-PBE.

a = 4.3179 Å, b = 4.3179 Å, c = 6.2037 Å
α = 90.00°, β = 90.00°, γ = 90.00°
Closest atoms and distances in Å follow each position.
Sites, in units of the cell vectors:
Li (0.0000, 0.0000, 0.0000)  4 Li 2.70, 4 Ga 2.70
Li (0.0000, 0.5000, 0.7399)  4 Li 2.62-2.70, 2 Pd 2.62, 2 Al 2.70
Li (0.5000, 0.5000, 0.5000)  4 Ga 2.62, 4 Li 2.62
Li (0.5000, 0.0000, 0.2601)  4 Li 2.62-2.70, 2 Pd 2.62, 2 Al 2.70
Ga (0.5000, 0.0000, 0.7397)  4 Li 2.62-2.70, 2 Pd 2.62, 2 Al 2.70
Ga (0.0000, 0.5000, 0.2603)  4 Li 2.62-2.70, 2 Pd 2.62, 2 Al 2.70
Pd (0.0000, 0.0000, 0.5000)  4 Ga 2.62, 4 Li 2.62
Al (0.5000, 0.5000, 0.0000)  4 Li 2.70, 4 Ga 2.70

Output
Final energy = -26.0 eV per cell
Volume = 14.46 A^3/atom
Symmetry = P-4m2, No. 115